Record 1
{"formula": "Cs2BaZnBi", "functional": "PBE", "state": "optimized geometry", "cell": [[-0.903, -4.123, 4.695], [6.026, 1.559, 2.528], [-2.641, 4.551, 3.489]], "species": ["Cs", "Bi", "Ba", "Zn", "Cs"], "frac_coords": [[0.000, 0.000, 0.500], [0.500, 0.500, 0.500], [0.000, 0.500, 0.000], [0.000, 0.000, 0.000], [0.500, 0.000, 0.000]], "formation_enthalpy_0k_ev_per_atom": 0.076, "m_tot_mub_per_atom": 0.00, "energy_ev_per_atom": -1.681, "dos_ef_per_ev_cell": 2.96}



Record 2
{"formula": "CsBaZn2Bi2", "functional": "PBE", "state": "optimized geometry", "cell": [[4.798, 0.000, 0.000], [-2.399, 4.155, 0.000], [0.000, 0.000, 11.196]], "species": ["Zn", "Bi", "Bi", "Cs", "Ba", "Zn"], "frac_coords": [[0.667, 0.333, 0.306], [0.667, 0.333, 0.735], [0.333, 0.667, 0.265], [0.000, 0.000, 0.000], [0.000, 0.000, 0.500], [0.333, 0.667, 0.694]], "formation_enthalpy_0k_ev_per_atom": -0.418, "m_tot_mub_per_atom": 0.00, "energy_ev_per_atom": -2.599, "dos_ef_per_ev_cell": 2.42}



Record 3
{"formula": "Cs2BaZrBi", "functional": "PBE", "state": "optimized geometry", "cell": [[-3.344, -1.749, -6.738], [-3.604, -4.282, 2.900], [-5.382, 5.391, 1.272]], "species": ["Zr", "Ba", "Cs", "Cs", "Bi"], "frac_coords": [[0.500, 0.500, 0.500], [0.000, 0.000, 0.000], [0.000, 0.000, 0.500], [0.500, 0.000, 0.000], [0.000, 0.500, 0.000]], "formation_enthalpy_0k_ev_per_atom": 1.118, "m_tot_mub_per_atom": 0.62, "energy_ev_per_atom": -2.094, "dos_ef_per_ev_cell": 5.79}



Record 4
{"formula": "BaCuBi2", "functional": "PBE", "state": "optimized geometry", "cell": [[5.791, 0.000, 0.000], [0.000, 5.791, 0.000], [2.895, 2.895, 8.974]], "species": ["Bi", "Bi", "Cu", "Ba", "Cu", "Bi", "Bi", "Ba"], "frac_coords": [[0.875, 0.731, 0.750], [0.375, 0.519, 0.750], [0.500, 0.500, 0.000], [0.750, 0.250, 0.500], [0.250, 0.750, 0.500], [0.269, 0.625, 0.250], [0.481, 0.125, 0.250], [0.000, 0.000, 0.000]], "formation_enthalpy_0k_ev_per_atom": -0.223, "m_tot_mub_per_atom": 0.00, "energy_ev_per_atom": -3.668, "dos_ef_per_ev_cell": 2.17}



Record 5
{"formula": "BaCu2Bi", "functional": "PBE", "state": "optimized geometry", "cell": [[5.140, 0.000, 0.000], [0.000, 5.140, 0.000], [2.570, 2.570, 9.353]], "species": ["Cu", "Bi", "Bi", "Cu", "Cu", "Cu", "Ba", "Ba"], "frac_coords": [[0.375, 0.126, 0.750], [0.750, 0.250, 0.500], [0.000, 0.000, 0.000], [0.874, 0.125, 0.250], [0.875, 0.124, 0.750], [0.876, 0.625, 0.250], [0.500, 0.500, 0.000], [0.250, 0.750, 0.500]], "formation_enthalpy_0k_ev_per_atom": -0.088, "m_tot_mub_per_atom": 0.00, "energy_ev_per_atom": -3.587, "dos_ef_per_ev_cell": 4.04}



Record 6
{"formula": "Ba2Cu2Bi", "functional": "PBE", "state": "optimized geometry", "cell": [[8.026, 0.000, 0.000], [0.000, 8.026, 0.000], [0.000, 0.000, 4.712]], "species": ["Cu", "Cu", "Bi", "Bi", "Ba", "Ba", "Ba", "Cu", "Ba", "Cu"], "frac_coords": [[0.393, 0.893, 0.000], [0.107, 0.393, 0.000], [0.500, 0.500, 0.000], [0.000, 0.000, 0.000], [0.689, 0.811, 0.500], [0.311, 0.189, 0.500], [0.811, 0.311, 0.500], [0.893, 0.607, 0.000], [0.189, 0.689, 0.500], [0.607, 0.107, 0.000]], "formation_enthalpy_0k_ev_per_atom": -0.271, "m_tot_mub_per_atom": 0.00, "energy_ev_per_atom": -3.454, "dos_ef_per_ev_cell": 5.14}



Record 7
{"formula": "BaCuBi3", "functional": "PBE", "state": "optimized geometry", "cell": [[-3.574, -5.576, -1.100], [1.917, -2.397, 5.924], [-5.616, 3.020, 3.043]], "species": ["Ba", "Bi", "Bi", "Ba", "Bi", "Bi", "Cu", "Bi", "Cu", "Bi"], "frac_coords": [[0.929, 0.011, 0.202], [0.864, 0.071, 0.701], [0.467, 0.843, 0.445], [0.429, 0.342, 0.702], [0.466, 0.844, 0.957], [0.967, 0.510, 0.945], [0.152, 0.795, 0.699], [0.364, 0.282, 0.202], [0.652, 0.557, 0.199], [0.966, 0.509, 0.456]], "formation_enthalpy_0k_ev_per_atom": -0.291, "m_tot_mub_per_atom": 0.00, "energy_ev_per_atom": -3.824, "dos_ef_per_ev_cell": 6.33}



Record 8
{"formula": "Ba2Cu2Bi", "functional": "PBE", "state": "optimized geometry", "cell": [[6.281, 0.000, 0.000], [0.000, 6.281, 0.000], [3.140, 3.140, 4.135]], "species": ["Ba", "Bi", "Cu", "Ba", "Cu"], "frac_coords": [[0.750, 0.250, 0.500], [0.000, 0.000, 0.000], [0.358, 0.358, 0.285], [0.250, 0.750, 0.500], [0.642, 0.642, 0.715]], "formation_enthalpy_0k_ev_per_atom": -0.202, "m_tot_mub_per_atom": 0.00, "energy_ev_per_atom": -3.386, "dos_ef_per_ev_cell": 2.73}



Record 9
{"formula": "Ba2CuBi", "functional": "PBE", "state": "optimized geometry", "cell": [[6.913, 0.000, 0.000], [0.000, 6.913, 0.000], [3.456, 3.456, 8.960]], "species": ["Cu", "Ba", "Cu", "Ba", "Bi", "Ba", "Ba", "Bi"], "frac_coords": [[0.500, 0.500, 0.000], [0.875, 0.859, 0.750], [0.250, 0.750, 0.500], [0.141, 0.625, 0.250], [0.000, 0.000, 0.000], [0.375, 0.391, 0.750], [0.609, 0.125, 0.250], [0.750, 0.250, 0.500]], "formation_enthalpy_0k_ev_per_atom": -0.078, "m_tot_mub_per_atom": 0.00, "energy_ev_per_atom": -3.034, "dos_ef_per_ev_cell": 0.00}



Record 10
{"formula": "Ba3CuBi", "functional": "PBE", "state": "optimized geometry", "cell": [[-2.230, 4.117, -0.308], [-6.866, -6.192, 2.705], [2.139, 1.871, 9.507]], "species": ["Bi", "Ba", "Cu", "Ba", "Bi", "Ba", "Ba", "Ba", "Ba", "Cu"], "frac_coords": [[0.634, 0.302, 0.138], [0.269, 0.571, 0.020], [0.249, 0.529, 0.678], [0.059, 0.152, 0.383], [0.408, 0.851, 0.284], [0.632, 0.298, 0.772], [0.413, 0.858, 0.649], [0.983, 0.000, 0.038], [0.774, 0.582, 0.402], [0.799, 0.627, 0.744]], "formation_enthalpy_0k_ev_per_atom": -0.405, "m_tot_mub_per_atom": 0.10, "energy_ev_per_atom": -3.154, "dos_ef_per_ev_cell": 7.97}



Record 11
{"formula": "BaCuBi2", "functional": "PBE", "state": "optimized geometry", "cell": [[3.165, -4.372, -1.444], [-2.107, -4.019, -3.259], [1.778, -0.543, -5.269]], "species": ["Bi", "Ba", "Bi", "Cu"], "frac_coords": [[0.250, 0.250, 0.250], [0.500, 0.500, 0.500], [0.750, 0.750, 0.750], [0.000, 0.000, 0.000]], "formation_enthalpy_0k_ev_per_atom": 0.028, "m_tot_mub_per_atom": 0.00, "energy_ev_per_atom": -3.417, "dos_ef_per_ev_cell": 2.62}



Record 12
{"formula": "BaCuBi3", "functional": "PBE", "state": "optimized geometry", "cell": [[5.457, 0.000, 0.000], [0.000, 5.457, 0.000], [0.000, 0.000, 5.457]], "species": ["Bi", "Ba", "Bi", "Bi", "Cu"], "frac_coords": [[0.000, 0.000, 0.500], [0.500, 0.500, 0.500], [0.000, 0.500, 0.000], [0.500, 0.000, 0.000], [0.000, 0.000, 0.000]], "formation_enthalpy_0k_ev_per_atom": -0.203, "m_tot_mub_per_atom": 0.00, "energy_ev_per_atom": -3.735, "dos_ef_per_ev_cell": 3.48}



Record 13
{"formula": "BaCuBi3", "functional": "PBE", "state": "optimized geometry", "cell": [[-0.578, -6.038, 1.983], [6.214, -0.955, -1.097], [1.335, 1.832, 5.966]], "species": ["Bi", "Ba", "Bi", "Cu", "Bi"], "frac_coords": [[0.000, 0.000, 0.500], [0.000, 0.000, 0.000], [0.000, 0.500, 0.000], [0.500, 0.500, 0.500], [0.500, 0.000, 0.000]], "formation_enthalpy_0k_ev_per_atom": 1.239, "m_tot_mub_per_atom": 0.00, "energy_ev_per_atom": -2.294, "dos_ef_per_ev_cell": 4.32}



Record 14
{"formula": "Ba3CuBi", "functional": "PBE", "state": "optimized geometry", "cell": [[-4.036, -4.476, -0.313], [3.737, -3.587, 3.097], [-2.483, 1.877, 5.170]], "species": ["Ba", "Bi", "Cu", "Ba", "Ba"], "frac_coords": [[0.000, 0.000, 0.500], [0.500, 0.500, 0.500], [0.000, 0.000, 0.000], [0.500, 0.000, 0.000], [0.000, 0.500, 0.000]], "formation_enthalpy_0k_ev_per_atom": -0.238, "m_tot_mub_per_atom": 0.00, "energy_ev_per_atom": -2.987, "dos_ef_per_ev_cell": 4.83}



Record 15
{"formula": "BaCu3Bi3", "functional": "PBE", "state": "optimized geometry", "cell": [[-5.491, -4.804, 1.449], [1.869, -3.951, -6.018], [4.656, -4.078, 4.124]], "species": ["Cu", "Bi", "Cu", "Ba", "Bi", "Cu", "Bi", "Cu", "Bi", "Bi", "Cu", "Ba", "Bi", "Cu"], "frac_coords": [[0.750, 0.000, 0.500], [0.000, 0.750, 0.500], [0.500, 0.750, 0.000], [0.500, 0.500, 0.500], [0.500, 0.000, 0.250], [0.000, 0.500, 0.250], [0.000, 0.250, 0.500], [0.500, 0.250, 0.000], [0.500, 0.000, 0.750], [0.250, 0.500, 0.000], [0.000, 0.500, 0.750], [0.000, 0.000, 0.000], [0.750, 0.500, 0.000], [0.250, 0.000, 0.500]], "formation_enthalpy_0k_ev_per_atom": -0.039, "m_tot_mub_per_atom": 0.00, "energy_ev_per_atom": -3.732, "dos_ef_per_ev_cell": 8.47}



Record 16
{"formula": "Ba2MgCuBi2F14", "functional": "PBE", "state": "optimized geometry", "cell": [[-2.895, 5.748, 4.375], [-3.460, 1.118, 6.881], [14.669, 2.120, 7.225]], "species": ["F", "F", "F", "F", "F", "F", "F", "Ba", "F", "F", "F", "F", "F", "F", "F", "Bi", "F", "F", "Bi", "F", "F", "F", "F", "F", "Cu", "F", "Ba", "F", "F", "Cu", "Bi", "Ba", "Bi", "F", "F", "F", "Ba", "Mg", "Mg", "F"], "frac_coords": [[0.110, 0.399, 0.897], [0.337, 0.609, 0.394], [0.723, 0.126, 0.486], [0.564, 0.141, 0.050], [0.989, 0.656, 0.720], [0.437, 0.766, 0.264], [0.141, 0.564, 0.550], [0.718, 0.919, 0.869], [0.609, 0.337, 0.894], [0.890, 0.601, 0.103], [0.859, 0.436, 0.450], [0.011, 0.344, 0.280], [0.874, 0.277, 0.014], [0.817, 0.148, 0.329], [0.277, 0.874, 0.514], [0.054, 0.161, 0.878], [0.563, 0.234, 0.736], [0.344, 0.011, 0.780], [0.161, 0.054, 0.378], [0.601, 0.890, 0.603], [0.391, 0.663, 0.106], [0.183, 0.852, 0.671], [0.766, 0.437, 0.764], [0.852, 0.183, 0.171], [0.500, 0.500, 0.500], [0.436, 0.859, 0.950], [0.919, 0.718, 0.369], [0.656, 0.989, 0.220], [0.126, 0.723, 0.986], [0.500, 0.500, 0.000], [0.839, 0.946, 0.622], [0.282, 0.081, 0.131], [0.946, 0.839, 0.122], [0.234, 0.563, 0.236], [0.399, 0.110, 0.397], [0.148, 0.817, 0.829], [0.081, 0.282, 0.631], [0.434, 0.566, 0.750], [0.566, 0.434, 0.250], [0.663, 0.391, 0.606]], "m_tot_mub_per_atom": 0.05, "energy_ev_per_atom": -5.060, "e_form_raw_ev_per_atom": -2.89}



Record 17
{"formula": "BaCuBiH2", "functional": "PBE", "state": "optimized geometry", "cell": [[-2.824, -2.600, -2.436], [5.039, -3.549, 2.187], [-3.535, -1.504, 5.704]], "species": ["H", "Bi", "H", "Cu", "Cu", "Ba", "Ba", "H", "H", "Bi"], "frac_coords": [[0.129, 0.258, 0.961], [0.562, 0.125, 0.250], [0.871, 0.742, 0.039], [0.000, 0.000, 0.500], [0.000, 0.000, 0.000], [0.710, 0.419, 0.750], [0.290, 0.581, 0.250], [0.129, 0.258, 0.539], [0.871, 0.742, 0.461], [0.438, 0.875, 0.750]], "m_tot_mub_per_atom": 0.00, "energy_ev_per_atom": -3.575, "dos_ef_per_ev_cell": 1.90}



Record 18
{"formula": "Ba2CuHg4Bi2", "functional": "PBE", "state": "optimized geometry", "cell": [[7.319, -0.155, -0.223], [-3.649, 6.346, 0.223], [-3.649, -2.021, 6.020]], "species": ["Bi", "Cu", "Hg", "Hg", "Ba", "Ba", "Hg", "Hg", "Bi"], "frac_coords": [[0.000, 0.273, 0.273], [0.000, 0.000, 0.000], [0.000, 0.265, 0.735], [0.531, 0.265, 0.265], [0.500, 0.250, 0.750], [0.500, 0.750, 0.250], [0.469, 0.735, 0.735], [0.000, 0.735, 0.265], [0.000, 0.727, 0.727]], "formation_enthalpy_0k_ev_per_atom": -0.362, "m_tot_mub_per_atom": 0.00, "energy_ev_per_atom": -2.241, "dos_ef_per_ev_cell": 6.49}



Record 19
{"formula": "BaCuHgBi2", "functional": "PBE", "state": "optimized geometry", "cell": [[-2.374, -4.013, -2.773], [1.997, -3.613, 3.520], [-4.353, 0.509, 2.991]], "species": ["Hg", "Ba", "Cu", "Bi", "Bi"], "frac_coords": [[0.000, 0.000, 0.500], [0.500, 0.500, 0.500], [0.000, 0.000, 0.000], [0.000, 0.500, 0.000], [0.500, 0.000, 0.000]], "formation_enthalpy_0k_ev_per_atom": -0.239, "m_tot_mub_per_atom": 0.00, "energy_ev_per_atom": -3.055, "dos_ef_per_ev_cell": 2.34}



Record 20
{"formula": "BaMgCu2Bi", "functional": "PBE", "state": "optimized geometry", "cell": [[-3.704, -1.388, 2.978], [1.402, -5.891, -1.003], [3.085, 0.075, 3.872]], "species": ["Ba", "Mg", "Bi", "Cu", "Cu"], "frac_coords": [[0.000, 0.500, 0.000], [0.000, 0.000, 0.000], [0.500, 0.500, 0.500], [0.000, 0.000, 0.500], [0.500, 0.000, 0.000]], "formation_enthalpy_0k_ev_per_atom": 0.473, "m_tot_mub_per_atom": 0.00, "energy_ev_per_atom": -2.645, "dos_ef_per_ev_cell": 3.42}